Computed, not measured: an optimized crystal structure of CrCo2 at the PBE level of DFT.

Unit cell a=5.3371 b=5.3371 c=5.3371 alpha=90.00 beta=90.00 gamma=90.00
With the nearest neighbours (Å) after each atom.
Fractional coordinates of all 12 atoms:
Cr (0.0000, 0.0000, 0.0000)  6 Co 2.21
Cr (0.0000, 0.5000, 0.5000)  6 Co 2.21
Cr (0.5000, 0.0000, 0.5000)  6 Co 2.21
Cr (0.5000, 0.5000, 0.0000)  6 Co 2.21
Co (0.1259, 0.6259, 0.8741)  3 Cr 2.21, 1 Co 2.33
Co (0.1259, 0.8741, 0.3741)  3 Cr 2.21, 1 Co 2.33
Co (0.3741, 0.1259, 0.8741)  3 Cr 2.21, 1 Co 2.33
Co (0.3741, 0.3741, 0.3741)  3 Cr 2.21, 1 Co 2.33
Co (0.6259, 0.6259, 0.6259)  3 Cr 2.21, 1 Co 2.33
Co (0.6259, 0.8741, 0.1259)  3 Cr 2.21, 1 Co 2.33
Co (0.8741, 0.1259, 0.6259)  3 Cr 2.21, 1 Co 2.33
Co (0.8741, 0.3741, 0.1259)  3 Cr 2.21, 1 Co 2.33

* crystal system: cubic
* DOS(E_F): 16.10 states/eV/cell
* SG: No. 205
* total energy: -7.047 eV/atom
* mass density: 7.422 g cm⁻³

=====

Computed, not measured: an optimized crystal structure of SrEu2Ag at the PBE level of DFT.

Unit cell a=3.9246 b=3.9246 c=9.8442 alpha=90.00 beta=90.00 gamma=90.00
With the nearest neighbours (Å) after each atom.
Fractional coordinates of all 4 atoms:
Sr (0.0000, 0.0000, 0.0000)  4 Sr 3.92, 8 Eu 4.17
Eu (0.5000, 0.5000, 0.3161)  4 Ag 3.31, 1 Eu 3.62
Eu (0.5000, 0.5000, 0.6839)  4 Ag 3.31, 1 Eu 3.62
Ag (0.0000, 0.0000, 0.5000)  8 Eu 3.31

* crystal system: tetragonal
* DOS(E_F): 16.58 states/eV/cell
* SG: No. 123
* E above lowest polymorph: 0 meV/atom
* mass density: 5.469 g cm⁻³

=====

Computed, not measured: an optimized crystal structure of TiBI3 at the PBE level of DFT.

Unit cell a=5.5499 b=5.5499 c=5.5499 alpha=90.00 beta=90.00 gamma=90.00
With the nearest neighbours (Å) after each atom.
Fractional coordinates of all 5 atoms:
Ti (0.0000, 0.0000, 0.0000)  6 I 2.77
B (0.5000, 0.5000, 0.5000)  12 I 3.92
I (0.0000, 0.0000, 0.5000)  2 Ti 2.77
I (0.0000, 0.5000, 0.0000)  2 Ti 2.77
I (0.5000, 0.0000, 0.0000)  2 Ti 2.77

* crystal system: cubic
* raw formation energy: 0.739 eV/atom
* DOS(E_F): 7.74 states/eV/cell
* SG: No. 221
* mass density: 4.268 g cm⁻³

=====

Computed, not measured: an optimized crystal structure of BaHN3 at the PBE level of DFT.

Unit cell a=5.3027 b=5.3027 c=5.3027 alpha=90.00 beta=90.00 gamma=90.00
With the nearest neighbours (Å) after each atom.
Fractional coordinates of all 5 atoms:
Ba (0.0000, 0.0000, 0.0000)  6 N 2.65
H (0.5000, 0.5000, 0.5000)  12 N 3.75
N (0.0000, 0.0000, 0.5000)  2 Ba 2.65
N (0.0000, 0.5000, 0.0000)  2 Ba 2.65
N (0.5000, 0.0000, 0.0000)  2 Ba 2.65

* crystal system: cubic
* DOS(E_F): 3.53 states/eV/cell
* SG: No. 221
* total energy: -3.525 eV/atom
* mass density: 2.009 g cm⁻³

=====

Computed, not measured: an optimized crystal structure of CuTcP at the PBE level of DFT.

Unit cell a=8.5021 b=3.0331 c=6.3944 alpha=90.00 beta=96.77 gamma=90.00
With the nearest neighbours (Å) after each atom.
Fractional coordinates of all 12 atoms:
Cu (0.0000, 0.0000, 0.0000)  2 P 2.21-2.28, 1 Cu 2.35
Cu (0.2333, 0.5000, 0.0646)  3 Cu 2.35-2.49, 2 P 2.39
Cu (0.5000, 0.5000, 0.0000)  2 P 2.21-2.28, 1 Cu 2.35
Cu (0.7333, 0.0000, 0.0646)  3 Cu 2.35-2.49, 2 P 2.39
Tc (0.1890, 0.0000, 0.6853)  4 P 2.33-2.45
Tc (0.4417, 0.0000, 0.3797)  5 P 2.41-2.45
Tc (0.6890, 0.5000, 0.6853)  4 P 2.33-2.45
Tc (0.9417, 0.5000, 0.3797)  5 P 2.41-2.45
P (0.1516, 0.0000, 0.3190)  3 Cu 2.28-2.39, 4 Tc 2.33-2.45
P (0.3999, 0.5000, 0.6646)  1 Cu 2.21, 5 Tc 2.36-2.45
P (0.6516, 0.5000, 0.3190)  3 Cu 2.28-2.39, 4 Tc 2.33-2.45
P (0.8999, 0.0000, 0.6646)  1 Cu 2.21, 5 Tc 2.36-2.45

* crystal system: monoclinic
* DOS(E_F): 4.58 states/eV/cell
* SG: No. 8
* E above lowest polymorph: 40 meV/atom
* mass density: 7.809 g cm⁻³

=====

Computed, not measured: an optimized crystal structure of CaBeP2 at the PBE level of DFT.

Unit cell a=3.6038 b=4.0307 c=9.8723 alpha=90.00 beta=90.00 gamma=90.00
With the nearest neighbours (Å) after each atom.
Fractional coordinates of all 8 atoms:
Ca (0.0000, 0.0000, 0.0000)  8 P 2.98-3.12, 4 Be 3.05-3.20
Ca (0.5000, 0.5000, 0.5000)  8 P 2.98-3.12, 4 Be 3.05-3.20
Be (0.0000, 0.5000, 0.7487)  2 P 2.18
Be (0.5000, 0.0000, 0.2487)  2 P 2.18
P (0.0000, 0.0000, 0.3723)  2 Be 2.18, 2 P 2.39
P (0.0000, 0.5000, 0.2419)  2 P 2.39
P (0.5000, 0.0000, 0.7419)  2 P 2.39
P (0.5000, 0.5000, 0.8723)  2 Be 2.18, 2 P 2.39

* crystal system: orthorhombic
* DOS(E_F): 3.39 states/eV/cell
* SG: No. 44
* total energy: -4.278 eV/atom
* mass density: 2.571 g cm⁻³

=====

Computed, not measured: an optimized crystal structure of NbPAu3 at the PBE level of DFT.

Unit cell a=5.0949 b=5.0949 c=5.0949 alpha=90.00 beta=90.00 gamma=90.00
With the nearest neighbours (Å) after each atom.
Fractional coordinates of all 5 atoms:
Nb (0.0000, 0.0000, 0.0000)  6 Au 2.55
P (0.5000, 0.5000, 0.5000)  12 Au 3.60
Au (0.0000, 0.0000, 0.5000)  2 Nb 2.55
Au (0.0000, 0.5000, 0.0000)  2 Nb 2.55
Au (0.5000, 0.0000, 0.0000)  2 Nb 2.55

* crystal system: cubic
* DOS(E_F): 5.56 states/eV/cell
* SG: No. 221
* E above lowest polymorph: 787 meV/atom
* mass density: 8.974 g cm⁻³

=====

Computed, not measured: an optimized crystal structure of ZnAgP2 at the PBE level of DFT.

Unit cell a=2.7265 b=3.9574 c=6.2528 alpha=90.00 beta=90.00 gamma=90.00
With the nearest neighbours (Å) after each atom.
Fractional coordinates of all 4 atoms:
Zn (0.0000, 0.0000, 0.0000)  4 P 2.61, 2 Zn 2.73
Ag (0.5000, 0.5000, 0.2869)  5 P 2.67-2.82, 2 Ag 2.73
P (0.0000, 0.0000, 0.4729)  4 Ag 2.67, 2 P 2.73, 1 Zn 2.96
P (0.5000, 0.5000, 0.8365)  4 Zn 2.61, 2 P 2.73, 1 Ag 2.82

* crystal system: orthorhombic
* DOS(E_F): 1.69 states/eV/cell
* SG: No. 25
* total energy: -3.335 eV/atom
* mass density: 5.789 g cm⁻³